# BeAlIr2

A relaxed structure of BeAlIr2 (GGA-PBEsol, the Alexandria database).

The structure belongs to space group C2/m (No. 12); the cell edges are 8.0460, 2.8150 and 4.7104 Å and the angles 90.00°, 107.11° and 90.00°. Symmetry generates all atoms from Be at (0.0000, 0.0000, 0.0000), Al at (0.0000, 0.5000, 0.5000) and Ir at (0.2334, 0.5000, 0.2289).

As for the formation energy: -1.82 eV/f.u. The calculation puts the calculated density at 13.7 g/cm3. The calculation puts the relative energy among the computed polymorphs at 0.319 eV/atom. The spin magnetization comes out at 0.000 μB per formula unit.

=====

# KBeAl2

A relaxed structure of KBeAl2 (GGA-PBEsol, the Alexandria database).

The structure belongs to space group I4_1/amd (No. 141, origin choice 2); the cell edges are 5.4639, 5.4639 and 14.7148 Å and the angles 90.00°, 90.00° and 90.00°. Symmetry generates all atoms from K at (0.0000, 0.2500, 0.3750), Be at (0.0000, 0.2500, 0.8750) and Al at (0.0000, 0.0000, 0.0000).

As for the formation energy: 2.25 eV/f.u. The calculation puts the calculated density at 1.5 g/cm3. The spin magnetization comes out at 0.000 μB per formula unit.

=====

# KBeAl2

A relaxed structure of KBeAl2 (GGA-PBEsol, the Alexandria database).

The structure belongs to space group P4/mmm (No. 123); the cell edges are 3.0014, 3.0014 and 8.5247 Å and the angles 90.00°, 90.00° and 90.00°. Symmetry generates all atoms from K at (0.0000, 0.0000, 0.0000), Be at (0.0000, 0.0000, 0.5000) and Al at (0.5000, 0.5000, 0.3286).

As for the formation energy: 1.41 eV/f.u. The calculation puts the calculated density at 2.2 g/cm3. The spin magnetization comes out at 0.000 μB per formula unit.

=====

Number 1 is which compound?
BeAlIr2